[1]
{"formula": "Ca2Ni3Sb4Rh", "functional": "PBE-GGA", "state": "relaxed", "density_g_cm3": 6.8, "volume_a3_per_cell": 206.1, "space_group": "No. 115", "e_tot_ev_per_atom": -5.064, "formation_energy_uncorrected_ev_per_atom": -0.545, "cell": [[4.493, 0.000, 0.000], [0.000, 4.493, 0.000], [0.000, 0.000, 10.211]], "species": ["Sb", "Ni", "Sb", "Sb", "Sb", "Rh", "Ni", "Ca", "Ca", "Ni"], "fractional_positions": [[0.500, 0.500, 0.000], [0.500, 0.000, 0.876], [0.500, 0.000, 0.631], [0.000, 0.000, 0.000], [0.000, 0.500, 0.369], [0.500, 0.500, 0.500], [0.000, 0.500, 0.124], [0.000, 0.500, 0.740], [0.500, 0.000, 0.260], [0.000, 0.000, 0.500]]}


[2]
{"formula": "Ca2SiNiRh", "functional": "PBE-GGA", "state": "relaxed", "density_g_cm3": 3.4, "volume_a3_per_cell": 132.4, "space_group": "No. 123", "e_tot_ev_per_atom": -4.273, "formation_energy_uncorrected_ev_per_atom": 0.239, "cell": [[5.531, 0.000, 0.000], [0.000, 4.327, 0.000], [0.000, 0.000, 5.531]], "species": ["Ca", "Si", "Ca", "Rh", "Ni"], "fractional_positions": [[0.000, 0.000, 0.500], [0.000, 0.000, 0.000], [0.500, 0.000, 0.000], [0.000, 0.500, 0.000], [0.500, 0.500, 0.500]]}


[3]
{"formula": "CaSi2NiRh", "functional": "PBE-GGA", "state": "relaxed", "density_g_cm3": 5.3, "volume_a3_per_cell": 80.8, "space_group": "No. 119", "e_tot_ev_per_atom": -5.977, "formation_energy_uncorrected_ev_per_atom": -0.781, "cell": [[4.006, 0.000, 0.000], [0.000, 4.006, 0.000], [-2.003, -2.003, 5.033]], "species": ["Ca", "Ni", "Rh", "Si", "Si"], "fractional_positions": [[0.000, 0.000, 0.000], [0.250, 0.750, 0.500], [0.750, 0.250, 0.500], [0.624, 0.624, 0.248], [0.376, 0.376, 0.752]]}


[4]
{"formula": "Ca2Si2NiRh5", "functional": "PBE-GGA", "state": "relaxed", "density_g_cm3": 7.4, "volume_a3_per_cell": 319.7, "space_group": "No. 127", "e_tot_ev_per_atom": -6.315, "formation_energy_uncorrected_ev_per_atom": -0.576, "cell": [[3.145, 0.000, 0.000], [0.000, 10.083, 0.000], [0.000, 0.000, 10.083]], "species": ["Ca", "Ni", "Rh", "Rh", "Rh", "Rh", "Rh", "Si", "Si", "Ca", "Si", "Ca", "Rh", "Si", "Rh", "Ca", "Rh", "Rh", "Ni", "Rh"], "fractional_positions": [[0.000, 0.174, 0.326], [0.000, 0.000, 0.000], [0.500, 0.293, 0.565], [0.500, 0.793, 0.935], [0.500, 0.565, 0.707], [0.500, 0.707, 0.435], [0.500, 0.500, 0.000], [0.000, 0.371, 0.129], [0.000, 0.129, 0.629], [0.000, 0.674, 0.174], [0.000, 0.629, 0.871], [0.000, 0.826, 0.674], [0.500, 0.435, 0.293], [0.000, 0.871, 0.371], [0.500, 0.207, 0.065], [0.000, 0.326, 0.826], [0.500, 0.935, 0.207], [0.500, 0.065, 0.793], [0.000, 0.500, 0.500], [0.500, 0.000, 0.500]]}


[5]
{"formula": "Ca2Si4Ni3Rh", "functional": "PBE-GGA", "state": "relaxed", "density_g_cm3": 5.0, "volume_a3_per_cell": 155.5, "space_group": "No. 115", "e_tot_ev_per_atom": -5.748, "formation_energy_uncorrected_ev_per_atom": -0.709, "cell": [[-1.469, 3.613, 0.621], [-0.917, 0.286, -3.830], [-8.960, -3.962, 1.850]], "species": ["Si", "Si", "Ca", "Ni", "Ca", "Si", "Si", "Rh", "Ni", "Ni"], "fractional_positions": [[0.000, 0.500, 0.366], [0.500, 0.500, 0.000], [0.500, 0.000, 0.242], [0.000, 0.500, 0.127], [0.000, 0.500, 0.758], [0.500, 0.000, 0.634], [0.000, 0.000, 0.000], [0.500, 0.500, 0.500], [0.500, 0.000, 0.873], [0.000, 0.000, 0.500]]}


[6]
{"formula": "Ca2Ni3Sn4Rh", "functional": "PBE-GGA", "state": "relaxed", "density_g_cm3": 6.7, "volume_a3_per_cell": 205.3, "space_group": "No. 115", "e_form_ev_per_atom": -0.45, "e_tot_ev_per_atom": -4.921, "cell": [[-3.891, 1.511, -1.261], [-0.431, -3.380, -2.721], [-4.756, -5.704, 7.837]], "species": ["Ca", "Rh", "Sn", "Ni", "Sn", "Sn", "Ni", "Ni", "Ca", "Sn"], "fractional_positions": [[0.500, 0.000, 0.251], [0.500, 0.500, 0.500], [0.000, 0.000, 0.000], [0.500, 0.000, 0.868], [0.500, 0.500, 0.000], [0.000, 0.500, 0.366], [0.000, 0.000, 0.500], [0.000, 0.500, 0.132], [0.000, 0.500, 0.749], [0.500, 0.000, 0.634]]}


[7]
{"formula": "CaTbNiRh", "functional": "PBE-GGA", "state": "relaxed", "density_g_cm3": 7.5, "volume_a3_per_cell": 79.9, "space_group": "No. 216", "e_form_ev_per_atom": -0.39, "e_tot_ev_per_atom": -5.331, "cell": [[4.834, 0.000, 0.000], [2.417, 4.187, 0.000], [2.417, 1.396, 3.947]], "species": ["Rh", "Tb", "Ca", "Ni"], "fractional_positions": [[0.750, 0.750, 0.750], [0.000, 0.000, 0.000], [0.500, 0.500, 0.500], [0.250, 0.250, 0.250]]}


[8]
{"formula": "CaThNiRh", "functional": "PBE-GGA", "state": "relaxed", "density_g_cm3": 8.5, "volume_a3_per_cell": 84.3, "space_group": "No. 216", "e_form_ev_per_atom": -0.42, "e_tot_ev_per_atom": -6.054, "cell": [[4.922, 0.000, 0.000], [2.461, 4.263, 0.000], [2.461, 1.421, 4.019]], "species": ["Th", "Ni", "Ca", "Rh"], "fractional_positions": [[0.500, 0.500, 0.500], [0.250, 0.250, 0.250], [0.000, 0.000, 0.000], [0.750, 0.750, 0.750]]}


[9]
{"formula": "Ca2Zn5NiRh2", "functional": "PBE-GGA", "state": "relaxed", "density_g_cm3": 6.5, "volume_a3_per_cell": 344.4, "space_group": "No. 127", "e_form_ev_per_atom": -0.31, "e_tot_ev_per_atom": -3.394, "cell": [[-0.023, 1.610, -2.833], [-9.655, 3.038, 1.806], [3.533, 8.406, 4.749]], "species": ["Rh", "Zn", "Rh", "Ca", "Zn", "Zn", "Rh", "Rh", "Zn", "Ni", "Zn", "Zn", "Zn", "Ni", "Ca", "Zn", "Zn", "Ca", "Ca", "Zn"], "fractional_positions": [[0.000, 0.367, 0.133], [0.500, 0.819, 0.945], [0.000, 0.633, 0.867], [0.000, 0.175, 0.325], [0.500, 0.181, 0.055], [0.500, 0.945, 0.181], [0.000, 0.867, 0.367], [0.000, 0.133, 0.633], [0.500, 0.000, 0.500], [0.000, 0.500, 0.500], [0.500, 0.555, 0.681], [0.500, 0.445, 0.319], [0.500, 0.681, 0.445], [0.000, 0.000, 0.000], [0.000, 0.675, 0.175], [0.500, 0.055, 0.819], [0.500, 0.500, 0.000], [0.000, 0.825, 0.675], [0.000, 0.325, 0.825], [0.500, 0.319, 0.555]]}


[10]
{"formula": "CaZrNiRh", "functional": "PBE-GGA", "state": "relaxed", "density_g_cm3": 6.6, "volume_a3_per_cell": 73.2, "space_group": "No. 216", "e_form_ev_per_atom": -0.33, "e_tot_ev_per_atom": -6.248, "cell": [[4.696, 0.000, 0.000], [2.348, 4.067, 0.000], [2.348, 1.356, 3.834]], "species": ["Ni", "Ca", "Rh", "Zr"], "fractional_positions": [[0.250, 0.250, 0.250], [0.500, 0.500, 0.500], [0.750, 0.750, 0.750], [0.000, 0.000, 0.000]]}


[11]
{"formula": "CaNiRu2", "functional": "PBE-GGA", "state": "relaxed", "density_g_cm3": 7.6, "volume_a3_per_cell": 65.7, "space_group": "No. 123", "e_form_ev_per_atom": 0.41, "e_tot_ev_per_atom": -6.170, "polymorph_energy_mev_per_atom": 165, "cell": [[3.053, 0.004, 0.000], [-0.004, 3.053, 0.000], [0.000, 0.000, 7.049]], "species": ["Ru", "Ca", "Ni", "Ru"], "fractional_positions": [[0.000, 0.000, 0.565], [0.500, 0.500, 0.250], [0.500, 0.500, 0.750], [0.000, 0.000, 0.935]]}


[12]
{"formula": "CaNi2Ru2", "functional": "PBE-GGA", "state": "relaxed", "density_g_cm3": 8.1, "volume_a3_per_cell": 148.3, "space_group": "No. 127", "e_form_ev_per_atom": 0.25, "e_tot_ev_per_atom": -6.175, "polymorph_energy_mev_per_atom": 42, "cell": [[-1.008, -1.608, -7.274], [3.684, -6.488, 0.924], [-2.260, -1.201, 0.579]], "species": ["Ca", "Ca", "Ni", "Ru", "Ru", "Ru", "Ru", "Ni", "Ni", "Ni"], "fractional_positions": [[0.500, 0.500, 0.000], [0.000, 0.000, 0.000], [0.116, 0.384, 0.000], [0.177, 0.677, 0.500], [0.677, 0.823, 0.500], [0.323, 0.177, 0.500], [0.823, 0.323, 0.500], [0.884, 0.616, 0.000], [0.616, 0.116, 0.000], [0.384, 0.884, 0.000]]}